# LiDyMoO4, relaxed, DFT PBE+U
# final energy = -0.52597 Ry per atom
# magnetization = 0.286 μB per atom
data_LiDyMoO4
_space_group_name_H-M_alt 'I m m a'
_space_group_IT_number 74
_space_group_name_Hall '-I 2b 2'
_cell_length_a 6.3187
_cell_length_b 6.8192
_cell_length_c 9.1331
_cell_angle_alpha 90.00
_cell_angle_beta 90.00
_cell_angle_gamma 90.00
loop_
_atom_site_label
_atom_site_type_symbol
_atom_site_fract_x
_atom_site_fract_y
_atom_site_fract_z
_atom_site_occupancy
Li1 Li 0.0000 0.2500 0.0970 1
Dy1 Dy 0.0000 0.0000 0.5000 1
Mo1 Mo 0.2500 0.2500 0.7500 1
O1 O 0.0000 0.0413 0.7468 1
O2 O 0.2363 0.2500 0.5249 1